Density functional theory data (PBE) for LiTbDySi after structural relaxation.

Summary:
The density of states at the Fermi level comes out at 0.555 states/eV per atom. The formation energy without anion corrections is -1.45 eV/f.u. For the electronic total energy, the calculation gives -4.50 eV/atom.

The structure in POSCAR format:
```
LiTbDySi
1.0
4.976 0.000 0.000
2.488 4.309 0.000
2.488 1.436 4.063
Li Tb Dy Si
1 1 1 1
Direct
0.250 0.250 0.250 Li
0.500 0.500 0.500 Tb
0.000 0.000 0.000 Dy
0.750 0.750 0.750 Si
```